Density functional theory data (PBEsol) for a relaxed structure of La4YSb.

Results
The value obtained for the raw formation energy is 32 kJ/mol of formula units. The total magnetization is 0.00 μB per formula unit. The electronic total energy is -5.406 eV per atom.

Cell lengths 9.0953, 9.0953, 9.0953 Å; angles 90.00, 90.00, 90.00 degrees
Space group F-43m (No. 216)
Symmetry-distinct sites (fractional):
La  0.1244  0.1244  0.3756 (multiplicity 16)
Y  0.2500  0.2500  0.7500 (multiplicity 4)
Sb  0.0000  0.0000  0.0000 (multiplicity 4)